Model w:
VASP calculation (PBE-GGA) on an optimized crystal structure of RbNiSbTe2.

Results
The space-group type is P4/mmm (123). The total magnetization comes out at 0.29 μB per atom.

Geometry as POSCAR:
```
RbNiSbTe2
1.0
-1.6954 4.5391 3.8940
-5.9456 -1.7157 -0.5889
0.6263 -3.7738 4.6717
Sb Rb Ni Te
1 1 1 2
Cartesian
0.3131 -1.8869 2.3358
0.0000 0.0000 0.0000
-3.5074 -0.4752 3.9884
-2.9728 -0.8578 -0.2944
-0.8477 2.2695 1.9470
```


Model x:
VASP calculation (PBE-GGA) on an optimized crystal structure of RbNiSbTe2.

Results
The space-group type is P4/mmm (123). The total magnetization comes out at 0.00 μB per atom.

Geometry as POSCAR:
```
RbNiSbTe2
1.0
-2.4463 1.5276 -4.7273
3.8196 -2.7911 -2.8785
-2.7826 -3.9699 0.1571
Ni Te Sb Rb
1 2 1 1
Cartesian
0.0000 0.0000 0.0000
-1.2231 0.7638 -2.3636
1.9098 -1.3955 -1.4392
-1.3913 -1.9850 0.0785
-0.7046 -2.6167 -3.7244
```


Which structure loses on stability? model w does.


Model w:
VASP calculation (PBE-GGA) on an optimized crystal structure of RbSc2Ni.

Results
The space-group type is R-3m (166). The total magnetization comes out at 0.00 μB per atom.

Geometry as POSCAR:
```
RbSc2Ni
1.0
2.2180 0.0000 10.4158
-1.1090 1.9208 10.4158
-1.1090 -1.9208 10.4158
Sc Rb Ni
2 1 1
Cartesian
0.0000 0.0000 3.9597
0.0000 0.0000 27.2877
0.0000 0.0000 0.0000
0.0000 0.0000 15.6237
```


Model x:
VASP calculation (PBE-GGA) on an optimized crystal structure of RbSc2Ni.

Results
The space-group type is R-3m (166). The total magnetization comes out at 0.00 μB per atom.

Geometry as POSCAR:
```
RbSc2Ni
1.0
1.8879 0.0000 11.5412
-0.9440 1.6350 11.5412
-0.9440 -1.6350 11.5412
Sc Ni Rb
2 1 1
Cartesian
0.0000 0.0000 2.3337
0.0000 0.0000 32.2899
0.0000 0.0000 0.0000
0.0000 0.0000 17.3118
```


Model y:
VASP calculation (PBE-GGA) on an optimized crystal structure of RbSc2Ni.

Results
The space-group type is Fm-3m (225). The total magnetization comes out at 0.00 μB per atom.

Geometry as POSCAR:
```
RbSc2Ni
1.0
-3.3893 -3.6083 -0.8119
-0.8398 -3.4875 3.5069
-4.3199 -0.0034 2.5503
Rb Sc Ni
1 2 1
Cartesian
-4.2745 -3.5496 2.6227
-2.1372 -1.7748 1.3113
-6.4117 -5.3244 3.9340
0.0000 0.0000 0.0000
```


Which structure loses on stability? model x does.


Model w:
VASP calculation (PBE-GGA) on an optimized crystal structure of RbSi2Ni.

Results
The space-group type is Fm-3m (225). The total magnetization comes out at 0.00 μB per atom.

Geometry as POSCAR:
```
RbSi2Ni
1.0
0.0000 3.3570 3.3570
3.3570 0.0000 3.3570
3.3570 3.3570 0.0000
Rb Si Ni
1 2 1
Cartesian
3.3570 3.3570 3.3570
1.6785 1.6785 1.6785
5.0355 5.0355 5.0355
0.0000 0.0000 0.0000
```


Model x:
VASP calculation (PBE-GGA) on an optimized crystal structure of RbSi2Ni.

Results
The space-group type is I4_1/amd (141). The total magnetization comes out at 0.00 μB per atom.

Geometry as POSCAR:
```
RbSi2Ni
1.0
-3.3640 1.9833 3.8180
-4.2554 -0.8197 -3.3236
-4.6089 -5.7500 2.8320
Si Rb Ni
4 2 2
Cartesian
-5.0734 -1.2061 0.0625
-2.9457 -0.7962 1.7243
-9.0598 -3.0894 3.3875
-7.3778 -4.0811 1.4785
0.0000 0.0000 0.0000
-5.8913 -1.5925 3.4486
-6.3370 -2.9939 -0.1222
-3.8097 0.5818 0.2472
```


Which structure loses on stability? model w does.